Material: HoPuTh2Bi5
Method: DFT, PBE
State: relaxed

Geometry as CIF:
```
data_HoPuTh2Bi5
_cell_length_a 5.424
_cell_length_b 5.424
_cell_length_c 11.785
_cell_angle_alpha 90.00
_cell_angle_beta 90.00
_cell_angle_gamma 90.00
_space_group_name_H-M_alt 'P 4/m m m'
_space_group_IT_number 123
_space_group_name_Hall '-P 4 2'
loop_
_atom_site_label
_atom_site_type_symbol
_atom_site_fract_x
_atom_site_fract_y
_atom_site_fract_z
_atom_site_occupancy
Ho1 Ho 0.000 0.000 0.000 1
Pu1 Pu 0.000 0.000 0.500 1
Th1 Th 0.500 0.500 0.198 1
Bi1 Bi 0.000 0.000 0.250 1
Bi2 Bi 0.000 0.500 0.000 1
Bi3 Bi 0.500 0.500 0.500 1
```

ρ = 9.186 g cm⁻³
E_form = 134 meV per atom